Density functional theory data (PBE) for an optimized crystal structure of RhS2O.

abc: 7.820 7.820 7.820
angles: 21.22 21.22 21.22
Element x y z (fractional)
Rh: 0.000 0.000 0.000
S: 0.098 0.098 0.098
S: 0.902 0.902 0.902
O: 0.500 0.500 0.500

calculated density = 5.5 g/cm3
ΔE_f (raw) = 2.70 eV per formula unit
raw total energy = -17.86 eV/f.u.

***

Density functional theory data (PBE) for an optimized crystal structure of RhS3O.

abc: 4.158 4.158 4.158
angles: 90.00 90.00 90.00
Element x y z (fractional)
Rh: 0.000 0.000 0.000
S: 0.000 0.500 0.500
S: 0.500 0.000 0.500
S: 0.500 0.500 0.000
O: 0.500 0.500 0.500

calculated density = 5.0 g/cm3
ΔE_f (raw) = 4.95 eV per formula unit
raw total energy = -19.74 eV/f.u.
energy above the most stable polymorph in this dataset = 0.0 kJ/mol of atoms

***

Density functional theory data (PBE) for an optimized crystal structure of RhSO2.

abc: 6.127 6.127 6.127
angles: 29.43 29.43 29.43
Element x y z (fractional)
Rh: 0.000 0.000 0.000
S: 0.500 0.500 0.500
O: 0.391 0.391 0.391
O: 0.609 0.609 0.609

calculated density = 5.6 g/cm3
ΔE_f (raw) = -0.96 eV per formula unit
raw total energy = -22.35 eV/f.u.

***

Density functional theory data (PBE) for an optimized crystal structure of RhS3O.

abc: 4.562 4.562 4.562
angles: 90.00 90.00 90.00
Element x y z (fractional)
Rh: 0.000 0.000 0.000
S: 0.000 0.000 0.500
S: 0.000 0.500 0.000
S: 0.500 0.000 0.000
O: 0.500 0.500 0.500

calculated density = 3.8 g/cm3
ΔE_f (raw) = 5.70 eV per formula unit
raw total energy = -18.99 eV/f.u.
energy above the most stable polymorph in this dataset = 14.5 kJ/mol of atoms